Density functional theory data (PBE) for an optimized crystal structure of LiPmCdPb.

a = 4.368 Å, b = 4.731 Å, c = 4.982 Å
α = 90.00°, β = 90.00°, γ = 90.00°
Positions (direct):
Li1 0.000 0.000 0.000
Pm1 0.000 0.500 0.500
Cd1 0.500 0.500 0.000
Pb1 0.500 0.000 0.500

VASP energy	-12.76	eV for the cell shown
DFT formation energy	-0.367	eV/atom
total magnetization	0.00	μB/f.u.
offset from the most stable computed form	0.011	eV/atom